The following is a DFT calculation (PBE-GGA) of an optimized crystal structure of GaSiAg.

Unit cell a=3.664 b=5.161 c=6.398 alpha=89.50 beta=73.82 gamma=71.18
Fractional coordinates of all 6 atoms:
Ga1 0.000 0.000 0.000
Ga2 0.469 0.326 0.678
Si1 0.132 0.515 0.274
Si2 0.742 0.534 0.028
Ag1 0.296 0.005 0.369
Ag2 0.766 0.768 0.666

- Volume: 110 Å³/cell
- ΔE_f (raw): 16.9 kJ per mole of atoms

The following is a DFT calculation (PBE-GGA) of an optimized crystal structure of GaSiAg.

Unit cell a=3.627 b=5.254 c=6.436 alpha=81.59 beta=73.72 gamma=70.51
Fractional coordinates of all 6 atoms:
Ga1 0.000 0.000 0.000
Ga2 0.208 0.410 0.150
Si1 0.476 0.595 0.417
Si2 0.832 0.911 0.400
Ag1 0.524 0.225 0.717
Ag2 0.765 0.651 0.815

- Volume: 111 Å³/cell
- ΔE_f (raw): 17.1 kJ per mole of atoms